Entry 1:
Here is NaPdC2 at its PBEsol-relaxed geometry from Alexandria via LeMat-Bulk. Energies are from meta-GGA SCAN.

```
data_NaPdC2
_cell_length_a 3.856
_cell_length_b 3.856
_cell_length_c 3.856
_cell_angle_alpha 60.00
_cell_angle_beta 60.00
_cell_angle_gamma 60.00
_space_group_name_H-M_alt 'P 1'
_space_group_IT_number 1
_space_group_name_Hall 'P 1'
loop_
_atom_site_label
_atom_site_type_symbol
_atom_site_fract_x
_atom_site_fract_y
_atom_site_fract_z
C1 C 0.250 0.250 0.250
C2 C 0.750 0.750 0.750
Pd1 Pd 0.500 0.500 0.500
Na1 Na 0.000 0.000 0.000
```

Magnetization (μB per formula unit): 0.0
E_form (eV/atom): 1.7931
Space group: Fm-3m
Calculated total energy (eV per atom): -12.50

=====

Entry 2:
Here is BaSN2 at its PBEsol-relaxed geometry from Alexandria via LeMat-Bulk. Energies are from meta-GGA SCAN.

```
data_BaSN2
_cell_length_a 4.422
_cell_length_b 4.422
_cell_length_c 6.162
_cell_angle_alpha 68.97
_cell_angle_beta 68.97
_cell_angle_gamma 60.00
_space_group_name_H-M_alt 'P 1'
_space_group_IT_number 1
_space_group_name_Hall 'P 1'
loop_
_atom_site_label
_atom_site_type_symbol
_atom_site_fract_x
_atom_site_fract_y
_atom_site_fract_z
N1 N 0.092 0.092 0.723
N2 N 0.908 0.908 0.277
S1 S 0.000 0.000 0.000
Ba1 Ba 0.500 0.500 0.500
```

Magnetization (μB per formula unit): 0.0
E_form (uncorrected) (eV/f.u.): 0.2
Space group: R-3m
Calculated total energy (eV per atom): -16.90

=====

Entry 3:
Here is TePbSN2 at its PBEsol-relaxed geometry from Alexandria via LeMat-Bulk. Energies are from meta-GGA SCAN.

```
data_TePbSN2
_cell_length_a 4.151
_cell_length_b 4.151
_cell_length_c 5.056
_cell_angle_alpha 90.00
_cell_angle_beta 90.00
_cell_angle_gamma 90.00
_space_group_name_H-M_alt 'P 1'
_space_group_IT_number 1
_space_group_name_Hall 'P 1'
loop_
_atom_site_label
_atom_site_type_symbol
_atom_site_fract_x
_atom_site_fract_y
_atom_site_fract_z
N1 N 0.000 0.500 0.000
N2 N 0.500 0.000 0.000
Te1 Te 0.000 0.000 0.500
Pb1 Pb 0.500 0.500 0.500
S1 S 0.000 0.000 0.000
```

Magnetization (μB per formula unit): 2.1
E_form (uncorrected) (eV/f.u.): 8.2
Space group: P4/mmm
Calculated total energy (eV per atom): -26.61

=====

Entry 4:
Here is NiSbP at its PBEsol-relaxed geometry from Alexandria via LeMat-Bulk. Energies are from meta-GGA SCAN.

```
data_NiSbP
_cell_length_a 5.805
_cell_length_b 5.805
_cell_length_c 5.805
_cell_angle_alpha 90.00
_cell_angle_beta 90.00
_cell_angle_gamma 90.00
_space_group_name_H-M_alt 'P 1'
_space_group_IT_number 1
_space_group_name_Hall 'P 1'
loop_
_atom_site_label
_atom_site_type_symbol
_atom_site_fract_x
_atom_site_fract_y
_atom_site_fract_z
Sb1 Sb 0.373 0.873 0.627
Sb2 Sb 0.873 0.627 0.373
Sb3 Sb 0.127 0.127 0.127
Sb4 Sb 0.627 0.373 0.873
P1 P 0.127 0.373 0.627
P2 P 0.627 0.127 0.373
P3 P 0.873 0.873 0.873
P4 P 0.373 0.627 0.127
Ni1 Ni 0.476 0.476 0.476
Ni2 Ni 0.524 0.976 0.024
Ni3 Ni 0.024 0.524 0.976
Ni4 Ni 0.976 0.024 0.524
```

Magnetization (μB per formula unit): 0.0
E_form (uncorrected) (eV/f.u.): -0.7
Space group: P2_13
Calculated total energy (eV per atom): -21.51

=====

Entry 5:
Here is MoPtF3 at its PBEsol-relaxed geometry from Alexandria via LeMat-Bulk. Energies are from meta-GGA SCAN.

```
data_MoPtF3
_cell_length_a 4.271
_cell_length_b 4.271
_cell_length_c 4.271
_cell_angle_alpha 90.00
_cell_angle_beta 90.00
_cell_angle_gamma 90.00
_space_group_name_H-M_alt 'P 1'
_space_group_IT_number 1
_space_group_name_Hall 'P 1'
loop_
_atom_site_label
_atom_site_type_symbol
_atom_site_fract_x
_atom_site_fract_y
_atom_site_fract_z
F1 F 0.000 0.000 0.500
F2 F 0.000 0.500 0.000
F3 F 0.500 0.000 0.000
Pt1 Pt 0.000 0.000 0.000
Mo1 Mo 0.500 0.500 0.500
```

Magnetization (μB per formula unit): 4.9
E_form (uncorrected) (eV/f.u.): -1.0
Space group: Pm-3m
Calculated total energy (eV per atom): -23.34

=====

Entry 6:
Here is Sr2FePb at its PBEsol-relaxed geometry from Alexandria via LeMat-Bulk. Energies are from meta-GGA SCAN.

```
data_Sr2FePb
_cell_length_a 3.894
_cell_length_b 5.367
_cell_length_c 6.540
_cell_angle_alpha 114.23
_cell_angle_beta 107.32
_cell_angle_gamma 90.00
_space_group_name_H-M_alt 'P 1'
_space_group_IT_number 1
_space_group_name_Hall 'P 1'
loop_
_atom_site_label
_atom_site_type_symbol
_atom_site_fract_x
_atom_site_fract_y
_atom_site_fract_z
Sr1 Sr 0.020 0.020 0.040
Sr2 Sr 0.222 0.722 0.443
Fe1 Fe 0.461 0.461 0.921
Pb1 Pb 0.797 0.298 0.595
```

Magnetization (μB per formula unit): 3.0
E_form (eV/atom): -0.0550
Space group: Imm2
Calculated total energy (eV per atom): -34.67

=====

Entry 7:
Here is Si3N4 at its PBEsol-relaxed geometry from Alexandria via LeMat-Bulk. Energies are from meta-GGA SCAN.

```
data_Si3N4
_cell_length_a 2.911
_cell_length_b 7.626
_cell_length_c 7.626
_cell_angle_alpha 120.00
_cell_angle_beta 90.00
_cell_angle_gamma 90.00
_space_group_name_H-M_alt 'P 1'
_space_group_IT_number 1
_space_group_name_Hall 'P 1'
loop_
_atom_site_label
_atom_site_type_symbol
_atom_site_fract_x
_atom_site_fract_y
_atom_site_fract_z
Si1 Si 0.750 0.594 0.826
Si2 Si 0.250 0.826 0.233
Si3 Si 0.750 0.233 0.406
Si4 Si 0.750 0.174 0.767
Si5 Si 0.250 0.767 0.594
Si6 Si 0.250 0.406 0.174
N1 N 0.250 0.030 0.700
N2 N 0.250 0.670 0.970
N3 N 0.750 0.970 0.300
N4 N 0.750 0.330 0.030
N5 N 0.750 0.333 0.667
N6 N 0.250 0.667 0.333
N7 N 0.250 0.300 0.330
N8 N 0.750 0.700 0.670
```

Magnetization (μB per formula unit): 0.0
E_form (uncorrected) (eV/f.u.): -9.4
Space group: P6_3/m
Calculated total energy (eV per atom): -10.94

=====

Entry 8:
Here is TcNi2W at its PBEsol-relaxed geometry from Alexandria via LeMat-Bulk. Energies are from meta-GGA SCAN.

```
data_TcNi2W
_cell_length_a 3.637
_cell_length_b 3.637
_cell_length_c 3.785
_cell_angle_alpha 90.00
_cell_angle_beta 90.00
_cell_angle_gamma 90.00
_space_group_name_H-M_alt 'P 1'
_space_group_IT_number 1
_space_group_name_Hall 'P 1'
loop_
_atom_site_label
_atom_site_type_symbol
_atom_site_fract_x
_atom_site_fract_y
_atom_site_fract_z
Tc1 Tc 0.500 0.500 0.500
Ni1 Ni 0.500 0.000 0.000
Ni2 Ni 0.000 0.500 0.000
W1 W 0.000 0.000 0.500
```

Magnetization (μB per formula unit): 0.0
E_form (eV/atom): 0.0149
Space group: P4/mmm
Calculated total energy (eV per atom): -34.26